<i>
# MnFeBP2, relaxed, DFT GGA-PBE
# Crystal system: orthorhombic
# N(E_F) (states/eV/f.u.): 2.12
data_MnFeBP2
_chemical_formula_sum 'Mn1 Fe1 B1 P2'
_symmetry_space_group_name_H-M 'P 1'
_symmetry_Int_Tables_number 1
_symmetry_space_group_name_Hall 'P 1'
_cell_length_a 2.981
_cell_length_b 2.934
_cell_length_c 6.527
_cell_angle_alpha 90.00
_cell_angle_beta 90.00
_cell_angle_gamma 90.00
loop_
_atom_site_label
_atom_site_type_symbol
_atom_site_fract_x
_atom_site_fract_y
_atom_site_fract_z
Fe1 Fe 0.500 0.500 0.698
Mn1 Mn 0.500 0.000 0.078
B1 B 0.000 0.000 0.599
P1 P 0.000 0.500 0.959
P2 P 0.500 0.000 0.416



<ii>
# MnFeBP2, relaxed, DFT GGA-PBE
# Crystal system: monoclinic
# N(E_F) (states/eV/f.u.): 2.44
data_MnFeBP2
_chemical_formula_sum 'Mn1 Fe1 B1 P2'
_symmetry_space_group_name_H-M 'P 1'
_symmetry_Int_Tables_number 1
_symmetry_space_group_name_Hall 'P 1'
_cell_length_a 2.998
_cell_length_b 3.118
_cell_length_c 6.005
_cell_angle_alpha 89.91
_cell_angle_beta 75.52
_cell_angle_gamma 90.00
loop_
_atom_site_label
_atom_site_type_symbol
_atom_site_fract_x
_atom_site_fract_y
_atom_site_fract_z
P1 P 0.983 0.612 0.994
Fe1 Fe 0.628 0.610 0.703
B1 B 0.260 0.611 0.439
Mn1 Mn 0.400 0.112 0.160
P2 P 0.753 0.111 0.454



List of relative energies, unit eV/atom: <i> 0.035; <ii> 0.000



<i>
# CuW2, relaxed, DFT GGA-PBE
# Crystal system: tetragonal
# N(E_F) (states/eV/f.u.): 2.65
data_CuW2
_chemical_formula_sum 'Cu2 W4'
_symmetry_space_group_name_H-M 'P 1'
_symmetry_Int_Tables_number 1
_symmetry_space_group_name_Hall 'P 1'
_cell_length_a 4.900
_cell_length_b 4.900
_cell_length_c 4.900
_cell_angle_alpha 104.64
_cell_angle_beta 104.64
_cell_angle_gamma 119.63
loop_
_atom_site_label
_atom_site_type_symbol
_atom_site_fract_x
_atom_site_fract_y
_atom_site_fract_z
W1 W 0.154 0.346 0.500
W2 W 0.846 0.654 0.500
Cu1 Cu 0.250 0.250 0.000
W3 W 0.654 0.154 0.809
W4 W 0.346 0.846 0.191
Cu2 Cu 0.750 0.750 0.000



<ii>
# CuW2, relaxed, DFT GGA-PBE
# Crystal system: tetragonal
# N(E_F) (states/eV/f.u.): 2.61
data_CuW2
_chemical_formula_sum 'Cu1 W2'
_symmetry_space_group_name_H-M 'P 1'
_symmetry_Int_Tables_number 1
_symmetry_space_group_name_Hall 'P 1'
_cell_length_a 2.676
_cell_length_b 6.533
_cell_length_c 2.676
_cell_angle_alpha 78.18
_cell_angle_beta 90.00
_cell_angle_gamma 101.82
loop_
_atom_site_label
_atom_site_type_symbol
_atom_site_fract_x
_atom_site_fract_y
_atom_site_fract_z
W1 W 0.342 0.684 0.658
W2 W 0.658 0.316 0.342
Cu1 Cu 0.000 0.000 0.000



List of relative energies, unit eV/atom: <i> 0.033; <ii> 0.000



<i>
# CuW2, relaxed, DFT GGA-PBE
# Crystal system: cubic
# N(E_F) (states/eV/f.u.): 1.51
data_CuW2
_chemical_formula_sum 'Cu2 W4'
_symmetry_space_group_name_H-M 'P 1'
_symmetry_Int_Tables_number 1
_symmetry_space_group_name_Hall 'P 1'
_cell_length_a 5.227
_cell_length_b 5.227
_cell_length_c 5.227
_cell_angle_alpha 60.00
_cell_angle_beta 60.00
_cell_angle_gamma 60.00
loop_
_atom_site_label
_atom_site_type_symbol
_atom_site_fract_x
_atom_site_fract_y
_atom_site_fract_z
Cu1 Cu 0.500 0.500 0.500
W1 W 0.125 0.125 0.625
W2 W 0.625 0.125 0.125
W3 W 0.125 0.125 0.125
Cu2 Cu 0.750 0.750 0.750
W4 W 0.125 0.625 0.125



<ii>
# CuW2, relaxed, DFT GGA-PBE
# Crystal system: trigonal
# N(E_F) (states/eV/f.u.): 1.73
data_CuW2
_chemical_formula_sum 'Cu1 W2'
_symmetry_space_group_name_H-M 'P 1'
_symmetry_Int_Tables_number 1
_symmetry_space_group_name_Hall 'P 1'
_cell_length_a 3.091
_cell_length_b 3.091
_cell_length_c 5.857
_cell_angle_alpha 90.00
_cell_angle_beta 90.00
_cell_angle_gamma 120.00
loop_
_atom_site_label
_atom_site_type_symbol
_atom_site_fract_x
_atom_site_fract_y
_atom_site_fract_z
W1 W 0.333 0.667 0.344
Cu1 Cu 0.000 0.000 0.000
W2 W 0.667 0.333 0.656



List of relative energies, unit eV/atom: <i> 0.250; <ii> 0.000



<i>
# FeRe2Hg, relaxed, DFT GGA-PBE
# Crystal system: monoclinic
# N(E_F) (states/eV/f.u.): 3.23
data_FeRe2Hg
_chemical_formula_sum 'Fe1 Re2 Hg1'
_symmetry_space_group_name_H-M 'P 1'
_symmetry_Int_Tables_number 1
_symmetry_space_group_name_Hall 'P 1'
_cell_length_a 3.882
_cell_length_b 2.848
_cell_length_c 6.422
_cell_angle_alpha 63.55
_cell_angle_beta 90.00
_cell_angle_gamma 90.00
loop_
_atom_site_label
_atom_site_type_symbol
_atom_site_fract_x
_atom_site_fract_y
_atom_site_fract_z
Fe1 Fe 0.000 0.534 0.475
Re1 Re 0.500 0.223 0.243
Re2 Re 0.000 0.979 0.045
Hg1 Hg 0.500 0.764 0.737



<ii>
# FeRe2Hg, relaxed, DFT GGA-PBE
# Crystal system: tetragonal
# N(E_F) (states/eV/f.u.): 2.67
data_FeRe2Hg
_chemical_formula_sum 'Fe1 Re2 Hg1'
_symmetry_space_group_name_H-M 'P 1'
_symmetry_Int_Tables_number 1
_symmetry_space_group_name_Hall 'P 1'
_cell_length_a 4.964
_cell_length_b 4.964
_cell_length_c 4.964
_cell_angle_alpha 134.49
_cell_angle_beta 134.49
_cell_angle_gamma 66.33
loop_
_atom_site_label
_atom_site_type_symbol
_atom_site_fract_x
_atom_site_fract_y
_atom_site_fract_z
Hg1 Hg 0.750 0.250 0.500
Fe1 Fe 0.250 0.750 0.500
Re1 Re 0.000 0.000 0.000
Re2 Re 0.500 0.500 0.000



List of relative energies, unit eV/atom: <i> 0.000; <ii> 0.215